A relaxed structure of PmMgSiAu, computed with GGA-PBE.

Unit cell a=4.955 b=4.955 c=4.955 alpha=60.00 beta=60.00 gamma=60.00
Fractional coordinates of all 4 atoms:
Si (0.500, 0.500, 0.500)
Au (0.000, 0.000, 0.000)
Mg (0.750, 0.750, 0.750)
Pm (0.250, 0.250, 0.250)

The calculation puts the density of states at the Fermi level at 2.36 states/eV/cell. The calculation puts the density at 7.612 g/cm³. For the total DFT energy (no corrections), the calculation gives -4.276 eV per atom.

---

A relaxed structure of PmSmMgAu, computed with GGA-PBE.

Unit cell a=3.782 b=3.782 c=7.413 alpha=90.00 beta=90.00 gamma=90.00
Fractional coordinates of all 4 atoms:
Pm (0.000, 0.000, 0.370)
Sm (0.000, 0.000, 0.842)
Mg (0.500, 0.500, 0.105)
Au (0.500, 0.500, 0.610)

The calculation puts the density of states at the Fermi level at 3.48 states/eV/cell. The excess energy over the best structure of this formula in the dataset comes out at 0.0 meV per atom. As for the formation energy: -444 meV/atom. The calculation puts the density at 8.091 g/cm³.

---

A relaxed structure of PmSmMgAu, computed with GGA-PBE.

Unit cell a=5.311 b=5.311 c=5.311 alpha=60.00 beta=60.00 gamma=60.00
Fractional coordinates of all 4 atoms:
Mg (0.500, 0.500, 0.500)
Au (0.000, 0.000, 0.000)
Sm (0.250, 0.250, 0.250)
Pm (0.750, 0.750, 0.750)

The calculation puts the density of states at the Fermi level at 3.69 states/eV/cell. The excess energy over the best structure of this formula in the dataset comes out at 68.4 meV per atom. As for the formation energy: -375 meV/atom. The calculation puts the density at 8.100 g/cm³.

---

A relaxed structure of PmMgTe3Au, computed with GGA-PBE.

Unit cell a=4.186 b=8.124 c=10.160 alpha=99.82 beta=90.00 gamma=90.00
Fractional coordinates of all 12 atoms:
Pm (0.250, 0.199, 0.284)
Pm (0.750, 0.801, 0.716)
Mg (0.250, 0.663, 0.156)
Mg (0.750, 0.337, 0.844)
Te (0.750, 0.923, 0.149)
Te (0.250, 0.077, 0.851)
Te (0.250, 0.692, 0.472)
Te (0.750, 0.308, 0.528)
Te (0.750, 0.407, 0.140)
Te (0.250, 0.593, 0.860)
Au (0.250, 0.089, 0.580)
Au (0.750, 0.911, 0.420)

The calculation puts the density of states at the Fermi level at 0.52 states/eV/cell. The calculation puts the density at 7.307 g/cm³. For the total DFT energy (no corrections), the calculation gives -4.051 eV per atom.

---

A relaxed structure of PmThMgAu, computed with GGA-PBE.

Unit cell a=5.326 b=5.326 c=5.326 alpha=60.00 beta=60.00 gamma=60.00
Fractional coordinates of all 4 atoms:
Mg (0.750, 0.750, 0.750)
Au (0.250, 0.250, 0.250)
Th (0.000, 0.000, 0.000)
Pm (0.500, 0.500, 0.500)

The calculation puts the density of states at the Fermi level at 4.27 states/eV/cell. As for the formation energy: -240 meV/atom. The calculation puts the density at 9.301 g/cm³.

---

A relaxed structure of PmTmMg2Au4, computed with GGA-PBE.

Unit cell a=4.913 b=4.913 c=8.589 alpha=73.38 beta=73.38 gamma=60.00
Fractional coordinates of all 8 atoms:
Pm (0.000, 0.000, 0.000)
Tm (0.500, 0.500, 0.500)
Mg (0.751, 0.751, 0.747)
Mg (0.249, 0.249, 0.253)
Au (0.380, 0.380, 0.859)
Au (0.872, 0.872, 0.385)
Au (0.128, 0.128, 0.615)
Au (0.620, 0.620, 0.141)

The calculation puts the density of states at the Fermi level at 5.09 states/eV/cell. As for the formation energy: -767 meV/atom. The calculation puts the density at 11.271 g/cm³.

---

A relaxed structure of PmYMgAu, computed with GGA-PBE.

Unit cell a=3.745 b=3.745 c=7.388 alpha=90.00 beta=90.00 gamma=90.00
Fractional coordinates of all 4 atoms:
Pm (0.000, 0.000, 0.869)
Y (0.000, 0.000, 0.341)
Mg (0.500, 0.500, 0.598)
Au (0.500, 0.500, 0.120)

The calculation puts the density of states at the Fermi level at 3.59 states/eV/cell. The excess energy over the best structure of this formula in the dataset comes out at 0.0 meV per atom. As for the formation energy: -460 meV/atom. The calculation puts the density at 7.296 g/cm³.

---

A relaxed structure of PmYMgAu, computed with GGA-PBE.

Unit cell a=5.267 b=5.267 c=5.267 alpha=60.00 beta=60.00 gamma=60.00
Fractional coordinates of all 4 atoms:
Y (0.000, 0.000, 0.000)
Mg (0.750, 0.750, 0.750)
Au (0.250, 0.250, 0.250)
Pm (0.500, 0.500, 0.500)

The calculation puts the density of states at the Fermi level at 2.85 states/eV/cell. The excess energy over the best structure of this formula in the dataset comes out at 62.1 meV per atom. As for the formation energy: -398 meV/atom. The calculation puts the density at 7.317 g/cm³.

---

A relaxed structure of PmY2MgAu4, computed with GGA-PBE.

Unit cell a=5.032 b=5.032 c=8.808 alpha=73.40 beta=73.40 gamma=60.00
Fractional coordinates of all 8 atoms:
Pm (0.000, 0.000, 0.000)
Y (0.756, 0.756, 0.731)
Y (0.244, 0.244, 0.269)
Mg (0.500, 0.500, 0.500)
Au (0.381, 0.381, 0.858)
Au (0.877, 0.877, 0.370)
Au (0.123, 0.123, 0.630)
Au (0.619, 0.619, 0.142)

The calculation puts the density of states at the Fermi level at 5.87 states/eV/cell. As for the formation energy: -784 meV/atom. The calculation puts the density at 10.336 g/cm³.

---

A relaxed structure of PmMg2ZnAu2, computed with GGA-PBE.

Unit cell a=4.314 b=4.314 c=8.674 alpha=104.40 beta=104.40 gamma=90.00
Last column: magnetic moment on the atom in μB.
Fractional coordinates of all 6 atoms:
Pm (0.500, 0.500, 0.000)  0.26
Mg (0.250, 0.750, 0.500)  0.00
Mg (0.750, 0.250, 0.500)  0.00
Zn (0.000, 0.000, 0.000)  0.07
Au (0.151, 0.151, 0.301)  0.02
Au (0.849, 0.849, 0.699)  0.02

The calculation puts the density of states at the Fermi level at 5.40 states/eV/cell. As for the formation energy: -212 meV/atom. The calculation puts the density at 7.174 g/cm³.

---

A relaxed structure of Pm4MgZn2Au, computed with GGA-PBE.

Unit cell a=5.251 b=5.251 c=9.132 alpha=73.29 beta=73.29 gamma=60.00
Fractional coordinates of all 8 atoms:
Pm (0.380, 0.380, 0.859)
Pm (0.872, 0.872, 0.385)
Pm (0.128, 0.128, 0.615)
Pm (0.620, 0.620, 0.141)
Mg (0.000, 0.000, 0.000)
Zn (0.740, 0.740, 0.780)
Zn (0.260, 0.260, 0.220)
Au (0.500, 0.500, 0.500)

The calculation puts the density of states at the Fermi level at 6.49 states/eV/cell. As for the formation energy: -379 meV/atom. The calculation puts the density at 7.525 g/cm³.

---

A relaxed structure of PmMgZn2Au4, computed with GGA-PBE.

Unit cell a=4.572 b=4.572 c=8.942 alpha=75.19 beta=75.19 gamma=60.00
Fractional coordinates of all 8 atoms:
Pm (0.000, 0.000, 0.000)
Mg (0.500, 0.500, 0.500)
Zn (0.756, 0.756, 0.733)
Zn (0.244, 0.244, 0.267)
Au (0.394, 0.394, 0.817)
Au (0.872, 0.872, 0.385)
Au (0.128, 0.128, 0.615)
Au (0.606, 0.606, 0.183)

The calculation puts the density of states at the Fermi level at 3.26 states/eV/cell. As for the formation energy: -515 meV/atom. The calculation puts the density at 11.683 g/cm³.

---

A relaxed structure of PmMgZnAu2, computed with GGA-PBE.

Unit cell a=4.048 b=4.048 c=7.112 alpha=106.54 beta=106.54 gamma=90.00
Fractional coordinates of all 5 atoms:
Pm (0.000, 0.000, 0.000)
Mg (0.750, 0.250, 0.500)
Zn (0.250, 0.750, 0.500)
Au (0.608, 0.608, 0.217)
Au (0.392, 0.392, 0.783)

The calculation puts the density of states at the Fermi level at 2.81 states/eV/cell. As for the formation energy: -606 meV/atom. The calculation puts the density at 9.783 g/cm³.

---

A relaxed structure of PmMg2Zn2Au2, computed with GGA-PBE.

Unit cell a=4.564 b=4.564 c=8.447 alpha=74.33 beta=74.33 gamma=60.00
Fractional coordinates of all 7 atoms:
Pm (0.000, 0.000, 0.000)
Mg (0.134, 0.134, 0.598)
Mg (0.866, 0.866, 0.402)
Zn (0.590, 0.590, 0.229)
Zn (0.410, 0.410, 0.771)
Au (0.749, 0.749, 0.754)
Au (0.251, 0.251, 0.246)

The calculation puts the density of states at the Fermi level at 4.59 states/eV/cell. As for the formation energy: -490 meV/atom. The calculation puts the density at 8.241 g/cm³.

---

A relaxed structure of PmMg2ZnAu4, computed with GGA-PBE.

Unit cell a=4.605 b=4.605 c=9.092 alpha=75.33 beta=75.33 gamma=60.00
Fractional coordinates of all 8 atoms:
Pm (0.000, 0.000, 0.000)
Mg (0.761, 0.761, 0.717)
Mg (0.239, 0.239, 0.283)
Zn (0.500, 0.500, 0.500)
Au (0.396, 0.396, 0.813)
Au (0.872, 0.872, 0.386)
Au (0.128, 0.128, 0.614)
Au (0.604, 0.604, 0.187)

The calculation puts the density of states at the Fermi level at 4.20 states/eV/cell. As for the formation energy: -571 meV/atom. The calculation puts the density at 10.888 g/cm³.

---

A relaxed structure of Pm2MgZn3Au4, computed with GGA-PBE.

Unit cell a=4.203 b=4.203 c=11.817 alpha=90.00 beta=90.00 gamma=90.00
Fractional coordinates of all 10 atoms:
Pm (0.500, 0.000, 0.236)
Pm (0.000, 0.500, 0.764)
Mg (0.500, 0.500, 0.500)
Zn (0.000, 0.000, 0.500)
Zn (0.500, 0.000, 0.865)
Zn (0.000, 0.500, 0.135)
Au (0.500, 0.500, 0.000)
Au (0.000, 0.000, 0.000)
Au (0.500, 0.000, 0.649)
Au (0.000, 0.500, 0.351)

The calculation puts the density of states at the Fermi level at 6.32 states/eV/cell. As for the formation energy: -539 meV/atom. The calculation puts the density at 10.328 g/cm³.

---

A relaxed structure of Pr2MgAu3, computed with GGA-PBE.

Unit cell a=5.172 b=5.172 c=12.468 alpha=90.00 beta=90.00 gamma=120.00
Fractional coordinates of all 12 atoms:
Pr (0.000, 0.000, 0.500)
Pr (0.333, 0.667, 0.185)
Pr (0.667, 0.333, 0.815)
Pr (0.000, 0.000, 0.000)
Mg (0.333, 0.667, 0.663)
Mg (0.667, 0.333, 0.337)
Au (0.333, 0.667, 0.432)
Au (0.667, 0.333, 0.084)
Au (0.000, 0.000, 0.749)
Au (0.000, 0.000, 0.251)
Au (0.333, 0.667, 0.916)
Au (0.667, 0.333, 0.568)

The calculation puts the density of states at the Fermi level at 7.85 states/eV/cell. As for the formation energy: -718 meV/atom. The calculation puts the density at 10.315 g/cm³.

---

A relaxed structure of Pr3Mg2Au3, computed with GGA-PBE.

Unit cell a=3.858 b=4.842 c=11.326 alpha=102.34 beta=99.81 gamma=90.00
Fractional coordinates of all 8 atoms:
Pr (0.623, 0.623, 0.245)
Pr (0.377, 0.377, 0.755)
Pr (0.500, 0.000, 0.000)
Mg (0.749, 0.249, 0.499)
Mg (0.251, 0.751, 0.501)
Au (0.160, 0.160, 0.320)
Au (0.000, 0.500, 0.000)
Au (0.840, 0.840, 0.680)

The calculation puts the density of states at the Fermi level at 7.17 states/eV/cell. The excess energy over the best structure of this formula in the dataset comes out at 98.0 meV per atom. As for the formation energy: -543 meV/atom. The calculation puts the density at 8.667 g/cm³.

---

A relaxed structure of Pr2Mg12Au7, computed with GGA-PBE.

Unit cell a=4.218 b=11.129 c=11.129 alpha=120.00 beta=90.00 gamma=90.00
Fractional coordinates of all 21 atoms:
Pr (0.500, 0.000, 0.000)
Pr (0.000, 0.667, 0.333)
Mg (0.500, 0.902, 0.622)
Mg (0.500, 0.720, 0.098)
Mg (0.500, 0.378, 0.280)
Mg (0.500, 0.240, 0.796)
Mg (0.500, 0.556, 0.760)
Mg (0.500, 0.204, 0.444)
Mg (0.000, 0.055, 0.549)
Mg (0.000, 0.494, 0.945)
Mg (0.000, 0.451, 0.506)
Mg (0.000, 0.766, 0.718)
Mg (0.000, 0.952, 0.234)
Mg (0.000, 0.282, 0.048)
Au (0.000, 0.333, 0.667)
Au (0.000, 0.046, 0.797)
Au (0.000, 0.750, 0.954)
Au (0.000, 0.203, 0.250)
Au (0.500, 0.625, 0.537)
Au (0.500, 0.913, 0.375)
Au (0.500, 0.463, 0.087)

The calculation puts the density of states at the Fermi level at 10.03 states/eV/cell. As for the formation energy: -566 meV/atom. The calculation puts the density at 7.166 g/cm³.

---

A relaxed structure of PrMg2Au6, computed with GGA-PBE.

Unit cell a=3.539 b=8.167 c=8.167 alpha=57.01 beta=77.49 gamma=77.49
Fractional coordinates of all 9 atoms:
Pr (0.500, 0.500, 0.500)
Mg (0.359, 0.141, 0.141)
Mg (0.641, 0.859, 0.859)
Au (0.180, 0.501, 0.139)
Au (0.820, 0.499, 0.861)
Au (0.820, 0.861, 0.499)
Au (0.000, 0.173, 0.827)
Au (0.000, 0.827, 0.173)
Au (0.180, 0.139, 0.501)

The calculation puts the density of states at the Fermi level at 3.64 states/eV/cell. As for the formation energy: -488 meV/atom. The calculation puts the density at 11.868 g/cm³.

---

| no. | M_tot (μB per cell) |
| --- | --- |
| 1 | 0.00 |
| 2 | 0.00 |
| 3 | 0.00 |
| 4 | 0.00 |
| 5 | 0.00 |
| 6 | 0.00 |
| 7 | 0.00 |
| 8 | 0.00 |
| 9 | 0.00 |
| 10 | 0.78 |
| 11 | 0.00 |
| 12 | 0.00 |
| 13 | 0.00 |
| 14 | 0.00 |
| 15 | 0.00 |
| 16 | 0.00 |
| 17 | 0.00 |
| 18 | 0.00 |
| 19 | 0.00 |
| 20 | 0.00 |